Ba2NaI6: relaxed, PBE-GGA.

Results
- Formation energy from raw total energies: -12.4 eV/f.u.
- SG: P2_1/c
- Density of states at the Fermi level: 1.12 states/eV/atom

Cell lengths 8.0698, 9.1941, 10.7519 Å; angles 90.00, 92.70, 90.00 degrees
Last column: nearest neighbours and their distance in Å.
Sites, in units of the cell vectors:
1 I 0.1649 0.3212 0.4442  1 Na 3.31, 2 Ba 3.64-3.69
2 I 0.8274 0.6656 0.9337  1 Na 3.16, 1 Ba 3.50
3 Ba 0.9617 0.3742 0.7542  8 I 3.48-3.81
4 Na 0.5000 0.5000 0.0000  6 I 3.12-3.31
5 I 0.8351 0.6788 0.5558  1 Na 3.31, 2 Ba 3.64-3.69
6 Na 0.0000 0.0000 0.5000  6 I 3.12-3.31
7 I 0.1726 0.3344 0.0663  1 Na 3.16, 1 Ba 3.50
8 Ba 0.0383 0.6258 0.2458  8 I 3.48-3.81
9 Ba 0.5383 0.8742 0.7458  8 I 3.48-3.81
10 I 0.6483 0.4697 0.2719  1 Na 3.12, 1 Ba 3.48
11 I 0.8517 0.9697 0.2281  1 Na 3.12, 1 Ba 3.48
12 Ba 0.4617 0.1258 0.2542  8 I 3.48-3.81
13 I 0.3273 0.8344 0.4337  1 Na 3.16, 1 Ba 3.50
14 I 0.6726 0.1656 0.5663  1 Na 3.16, 1 Ba 3.50
15 I 0.3517 0.5303 0.7281  1 Na 3.12, 1 Ba 3.48
16 I 0.1483 0.0303 0.7719  1 Na 3.12, 1 Ba 3.48
17 I 0.6649 0.1788 0.9442  1 Na 3.31, 2 Ba 3.64-3.69
18 I 0.3351 0.8212 0.0558  1 Na 3.31, 2 Ba 3.64-3.69